! Hf2MgNi, optimized geometry, DFT PBE; values from VASP
&SYSTEM
  ibrav = 0, nat = 8, ntyp = 3
/
ATOMIC_SPECIES
Hf 178.49 Hf.upf
Ni 58.69 Ni.upf
Mg 24.30 Mg.upf
ATOMIC_POSITIONS crystal
Hf 0.375 0.316 0.750
Hf 0.066 0.625 0.250
Hf 0.875 0.934 0.750
Ni 0.000 0.000 0.000
Mg 0.250 0.750 0.500
Hf 0.684 0.125 0.250
Mg 0.500 0.500 0.000
Ni 0.750 0.250 0.500
CELL_PARAMETERS angstrom
-0.680 -3.457 -6.688
0.252 -6.722 3.449
-3.016 -5.057 -1.351
! energy = -6.650 eV/atom
! energy above the lowest structure with this stoichiometry = 0.99 eV/f.u.
! calculated formation energy = 0.7 eV per formula unit
! calculated volume = 20.104 A^3/atom
! SG = I-42d